[1]
The following is a DFT calculation (GGA-PBE) of an optimized crystal structure of Na4Th3Te8.

Calculated values
Theoretical density: 5.86 Mg/m³
Formation energy without anion corrections: -97.38 kJ per mole of atoms
DOS(E_F): 0.386 states/eV per atom
E above lowest polymorph: 91 meV per atom
M_tot: 0.00 μB/f.u.
V: 1025.8 Å³/cell
Crystal system: monoclinic

a b c (Å): 12.3806 12.7876 8.9435
angles (deg): 90.00 133.57 90.00
Last column: nearest neighbours and their distance in Å.
Space group C2/m (No. 12)
Asymmetric unit:
1 Na 0.0000 0.0000 0.0000 [2 per cell]  6 Te 3.18-3.29
2 Na 0.0000 0.5000 0.5000 [2 per cell]  6 Te 3.18-3.27
3 Na 0.2500 0.2500 0.0000 [4 per cell]  6 Te 3.10-3.24
4 Th 0.0000 0.5000 0.0000 [2 per cell]  6 Te 3.01-3.20
5 Th 0.2500 0.2500 0.5000 [4 per cell]  6 Te 3.10-3.24
6 Te 0.0000 0.2463 0.5000 [4 per cell]  2 Th 3.10, 3 Na 3.24
7 Te 0.0000 0.2498 0.0000 [4 per cell]  3 Na 3.10-3.19, 3 Th 3.20-3.24
8 Te 0.2382 0.5000 0.9904 [4 per cell]  1 Th 3.01, 4 Na 3.18-3.20
9 Te 0.2398 0.0000 0.5075 [4 per cell]  3 Th 3.20, 2 Na 3.27-3.29



[2]
The following is a DFT calculation (GGA-PBE) of an optimized crystal structure of ScB6Ru6.

Calculated values
Theoretical density: 8.64 Mg/m³
E_form: 0.07 eV/atom
DOS(E_F): 0.528 states/eV per atom
M_tot: 0.00 μB/f.u.
V: 275.3 Å³/cell
Crystal system: orthorhombic

a b c (Å): 4.7148 7.4300 7.8598
angles (deg): 90.00 90.00 90.00
Last column: nearest neighbours and their distance in Å.
Space group Immm (No. 71)
Asymmetric unit:
1 Sc 0.0000 0.0000 0.0000 [2 per cell]  4 Ru 2.43-2.65
2 B 0.0000 0.2614 0.5000 [4 per cell]  6 Ru 2.27-2.45, 4 B 2.29
3 B 0.2500 0.2500 0.2500 [8 per cell]  6 Ru 2.27-2.36, 4 B 2.29-2.36
4 Ru 0.0000 0.0000 0.3368 [4 per cell]  6 B 2.30-2.33, 1 Ru 2.57
5 Ru 0.0000 0.3270 0.0000 [4 per cell]  6 B 2.36-2.45, 1 Sc 2.43, 1 Ru 2.57
6 Ru 0.0000 0.5000 0.3191 [4 per cell]  6 B 2.27



[3]
The following is a DFT calculation (GGA-PBE) of an optimized crystal structure of AcThTlAg.

Calculated values
Theoretical density: 10.53 Mg/m³
E_form: -0.11 eV/atom
DOS(E_F): 1.206 states/eV per atom
M_tot: 0.01 μB/f.u.
V: 486.5 Å³/cell
Crystal system: cubic

a b c (Å): 7.8652 7.8652 7.8652
angles (deg): 90.00 90.00 90.00
Last column: nearest neighbours and their distance in Å.
Space group F-43m (No. 216)
Asymmetric unit:
1 Ac 0.0000 0.0000 0.0000 [4 per cell]  4 Ag 3.41, 4 Tl 3.41
2 Th 0.0000 0.0000 0.5000 [4 per cell]  4 Tl 3.41, 4 Ag 3.41
3 Tl 0.2500 0.2500 0.7500 [4 per cell]  4 Ac 3.41, 4 Th 3.41
4 Ag 0.2500 0.2500 0.2500 [4 per cell]  4 Th 3.41, 4 Ac 3.41